Entry 1:
Density functional theory data (PBE-GGA) for an optimized crystal structure of AsSNF2.

a b c (Å): 4.774 4.774 3.196
angles (deg): 90.00 90.00 90.00
Space group P4/mmm (No. 123)
Unique sites:
As (0.000, 0.000, 0.000) x1
S (0.500, 0.500, 0.500) x1
N (0.500, 0.500, 0.000) x1
F (0.000, 0.500, 0.500) x2

Output
The density of states at the Fermi level is 2.44 states/eV per cell. The total moment comes out at 0.00 μB/cell. Its formation energy (no corrections) is 35.52 kJ per mole of atoms.

=====

Entry 2:
Density functional theory data (PBE-GGA) for an optimized crystal structure of Y3Sc2PaAs6.

a b c (Å): 6.987 12.104 7.021
angles (deg): 90.00 109.39 90.00
Space group C2/m (No. 12)
Unique sites:
Y (0.000, 0.000, 0.000) x2
Y (0.000, 0.334, 0.000) x4
Sc (0.000, 0.167, 0.500) x4
Pa (0.000, 0.500, 0.500) x2
As (0.241, 0.000, 0.737) x4
As (0.248, 0.331, 0.739) x8

Output
The density of states at the Fermi level is 8.26 states/eV per cell. The total moment comes out at 0.00 μB/cell. The value obtained for the formation energy is -1.4124 eV per atom.

=====

Entry 3:
Density functional theory data (PBE-GGA) for an optimized crystal structure of BaYGe2.

a b c (Å): 7.604 7.604 7.604
angles (deg): 90.00 90.00 90.00
Space group Fm-3m (No. 225)
Unique sites:
Ba (0.000, 0.000, 0.000) x4
Y (0.000, 0.000, 0.500) x4
Ge (0.250, 0.250, 0.250) x8

Output
The density of states at the Fermi level is 8.91 states/eV per cell. The total moment comes out at 0.00 μB/cell. The value obtained for the formation energy is -0.3582 eV per atom.

=====

Entry 4:
Density functional theory data (PBE-GGA) for an optimized crystal structure of Dy8Sb2Ir.

a b c (Å): 18.843 4.633 7.243
angles (deg): 90.00 98.04 90.00
Space group C2/m (No. 12)
Unique sites:
Dy (0.004, 0.000, 0.276) x4
Dy (0.096, 0.500, 0.011) x4
Dy (0.144, 0.500, 0.532) x4
Dy (0.216, 0.000, 0.848) x4
Sb (0.182, 0.000, 0.270) x4
Ir (0.000, 0.500, 0.500) x2

Output
The density of states at the Fermi level is 21.79 states/eV per cell. The total moment comes out at 0.00 μB/cell. Its formation energy (no corrections) is -53.16 kJ per mole of atoms.

=====

Entry 5:
Density functional theory data (PBE-GGA) for an optimized crystal structure of Cs2BaMg2.

a b c (Å): 9.598 9.598 6.514
angles (deg): 90.00 90.00 90.00
Space group P4/mbm (No. 127)
Unique sites:
Cs (0.172, 0.328, 0.000) x4
Ba (0.000, 0.000, 0.500) x2
Mg (0.116, 0.616, 0.500) x4

Output
The density of states at the Fermi level is 6.93 states/eV per cell. The total moment comes out at 0.00 μB/cell. The value obtained for the formation energy is 0.2139 eV per atom.

=====

Entry 6:
Density functional theory data (PBE-GGA) for an optimized crystal structure of MnVGaCo.

a b c (Å): 5.748 5.748 5.748
angles (deg): 90.00 90.00 90.00
Space group P-43m (No. 215)
Unique sites:
Mn (0.000, 0.000, 0.000) x1
Mn (0.000, 0.000, 0.500) x3
V (0.243, 0.243, 0.757) x4
Ga (0.254, 0.254, 0.254) x4
Co (0.000, 0.500, 0.500) x3
Co (0.500, 0.500, 0.500) x1

Output
The density of states at the Fermi level is 6.81 states/eV per cell. The total moment comes out at 0.57 μB/cell. The value obtained for the formation energy is -0.3010 eV per atom.

=====

Entry 7:
Density functional theory data (PBE-GGA) for an optimized crystal structure of BaCSCl2.

a b c (Å): 5.890 5.890 6.254
angles (deg): 90.00 90.00 90.00
Space group P4/mmm (No. 123)
Unique sites:
Ba (0.000, 0.000, 0.000) x1
C (0.500, 0.500, 0.500) x1
S (0.000, 0.000, 0.500) x1
Cl (0.000, 0.500, 0.000) x2

Output
The density of states at the Fermi level is 15.41 states/eV per cell. The total moment comes out at 0.00 μB/cell. Its formation energy (no corrections) is 94.24 kJ per mole of atoms.

=====

Entry 8:
Density functional theory data (PBE-GGA) for an optimized crystal structure of MnCu2Pd8.

a b c (Å): 13.943 3.920 6.209
angles (deg): 90.00 106.43 90.00
Space group C2/m (No. 12)
Unique sites:
Mn (0.000, 0.000, 0.000) x2
Cu (0.227, 0.500, 0.636) x4
Pd (0.047, 0.500, 0.730) x4
Pd (0.096, 0.000, 0.456) x4
Pd (0.139, 0.500, 0.191) x4
Pd (0.182, 0.000, 0.914) x4

Output
The density of states at the Fermi level is 28.81 states/eV per cell. The total moment comes out at 10.18 μB/cell. The value obtained for the formation energy is -0.1223 eV per atom.

=====

Entry 9:
Density functional theory data (PBE-GGA) for an optimized crystal structure of Ta3NbRu.

a b c (Å): 4.759 4.759 4.759
angles (deg): 90.00 90.00 90.00
Space group Pm-3m (No. 221)
Unique sites:
Ta (0.000, 0.000, 0.500) x3
Nb (0.500, 0.500, 0.500) x1
Ru (0.000, 0.000, 0.000) x1

Output
The density of states at the Fermi level is 9.96 states/eV per cell. The total moment comes out at 0.00 μB/cell. The value obtained for the formation energy is 1.1611 eV per atom.

=====

Entry 10:
Density functional theory data (PBE-GGA) for an optimized crystal structure of BaHf3C.

a b c (Å): 5.259 5.259 5.259
angles (deg): 90.00 90.00 90.00
Space group Pm-3m (No. 221)
Unique sites:
Ba (0.000, 0.000, 0.000) x1
Hf (0.000, 0.000, 0.500) x3
C (0.500, 0.500, 0.500) x1

Output
The density of states at the Fermi level is 12.00 states/eV per cell. The total moment comes out at 0.00 μB/cell. The value obtained for the formation energy is 3.4011 eV per atom.

=====

Entry 11:
Density functional theory data (PBE-GGA) for an optimized crystal structure of LaPm6HoTm2.

a b c (Å): 9.272 15.204 9.712
angles (deg): 90.00 97.92 90.00
Space group C2/c (No. 15)
Unique sites:
La (0.000, 0.094, 0.250) x4
Pm (0.065, 0.325, 0.445) x8
Pm (0.097, 0.107, 0.620) x8
Pm (0.208, 0.273, 0.819) x8
Ho (0.000, 0.469, 0.750) x4
Tm (0.243, 0.452, 0.047) x8

Output
The density of states at the Fermi level is 59.32 states/eV per cell. The total moment comes out at 0.00 μB/cell. The value obtained for the formation energy is 0.1164 eV per atom.

=====

Entry 12:
Density functional theory data (PBE-GGA) for an optimized crystal structure of KTlAgF3.

a b c (Å): 7.895 3.592 8.040
angles (deg): 90.00 107.09 90.00
Space group P2_1/m (No. 11)
Unique sites:
K (0.051, 0.250, 0.262) x2
Tl (0.399, 0.750, 0.678) x2
Ag (0.374, 0.750, 0.035) x2
F (0.175, 0.250, 0.990) x2
F (0.176, 0.250, 0.607) x2
F (0.345, 0.750, 0.379) x2

Output
The total moment comes out at 0.00 μB/cell. Its formation energy (no corrections) is -175.99 kJ per mole of atoms.

=====

Number 1: calculated total energy -3.801 eV/atom. Number 2: calculated total energy -7.200 eV/atom. Number 3: calculated total energy -4.764 eV/atom. Number 4: calculated total energy -5.453 eV/atom. Number 5: calculated total energy -1.150 eV/atom. Number 6: calculated total energy -7.406 eV/atom. Number 7: calculated total energy -2.817 eV/atom. Number 8: calculated total energy -5.477 eV/atom. Number 9: calculated total energy -9.820 eV/atom. Number 10: calculated total energy -4.800 eV/atom. Number 11: calculated total energy -4.579 eV/atom. Number 12: calculated total energy -3.812 eV/atom.